# SiBiPd2Pt | Alexandria | SCAN | PBEsol geometry
data_SiBiPd2Pt
_chemical_formula_sum 'Si1 Bi1 Pd2 Pt1'
_cell_length_a 4.9992
_cell_length_b 4.9992
_cell_length_c 4.3367
_cell_angle_alpha 90.00
_cell_angle_beta 90.00
_cell_angle_gamma 90.00
_symmetry_space_group_name_H-M 'P 4/m m m'
_symmetry_Int_Tables_number 123
_symmetry_space_group_name_Hall '-P 4 2'
loop_
_atom_site_label
_atom_site_type_symbol
_atom_site_fract_x
_atom_site_fract_y
_atom_site_fract_z
Si1 Si 0.0000 0.0000 0.0000
Bi1 Bi 0.5000 0.5000 0.0000
Pd1 Pd 0.0000 0.5000 0.5000
Pt1 Pt 0.0000 0.0000 0.5000
# **Magnetization**: 0.000 μB/atom
# **Density of states at the Fermi level**: 4.7 states/eV/cell
# **Raw formation energy**: 0.40 eV per atom
# **ρ**: 9.9 g/cm3